Entry 1:
A relaxed structure of AcLa2Tb5Y. Source: Alexandria, functional PBE-GGA.

Unit cell a=8.847 b=8.847 c=10.137 alpha=115.87 beta=115.87 gamma=90.00
Atoms (fractional coordinates):
Y  0.750  0.250  0.500
Tb  0.849  0.924  0.273
Ac  0.250  0.250  0.500
La  0.883  0.617  0.000
Tb  0.924  0.424  0.273
Tb  0.000  0.000  0.000
Tb  0.500  0.500  0.000
La  0.617  0.117  0.000
Tb  0.651  0.151  0.727
Ac  0.750  0.750  0.500
La  0.383  0.883  0.000
Tb  0.424  0.349  0.273
La  0.117  0.383  0.000
Tb  0.349  0.849  0.273
Y  0.250  0.750  0.500
Tb  0.076  0.576  0.727
Tb  0.576  0.651  0.727
Tb  0.151  0.076  0.727

- energy (eV per cell) = -82.72
- ΔE_f (eV/f.u.) = 2.22
- Fermi-level density of states (states/eV/cell) = 24.0

Entry 2:
A relaxed structure of AcLa6Tb2Y. Source: Alexandria, functional PBE-GGA.

Unit cell a=10.020 b=9.128 c=9.128 alpha=117.74 beta=93.91 gamma=93.91
Atoms (fractional coordinates):
La  0.950  0.885  0.249
Y  0.250  0.410  0.590
La  0.379  0.507  0.295
La  0.186  0.554  0.008
Y  0.750  0.590  0.410
Tb  0.545  0.202  0.304
La  0.450  0.249  0.885
Tb  0.045  0.304  0.202
La  0.050  0.115  0.751
La  0.621  0.493  0.705
La  0.121  0.705  0.493
La  0.686  0.008  0.554
Ac  0.250  0.976  0.024
La  0.550  0.751  0.115
La  0.814  0.446  0.992
Tb  0.455  0.798  0.696
Tb  0.955  0.696  0.798
Ac  0.750  0.024  0.976
La  0.314  0.992  0.446
La  0.879  0.295  0.507

- energy (eV per cell) = -96.69
- ΔE_f (eV/f.u.) = 1.05
- Fermi-level density of states (states/eV/cell) = 31.0

Entry 3:
A relaxed structure of AcLa2Tb3Y6. Source: Alexandria, functional PBE-GGA.

Unit cell a=6.313 b=6.313 c=11.943 alpha=95.05 beta=95.05 gamma=120.00
Atoms (fractional coordinates):
Ac  0.000  0.000  0.000
Y  0.579  0.914  0.744
Tb  0.833  0.167  0.500
Y  0.086  0.421  0.256
Tb  0.167  0.833  0.500
Tb  0.500  0.500  0.500
La  0.333  0.667  0.000
Y  0.248  0.248  0.743
La  0.667  0.333  0.000
Y  0.914  0.579  0.744
Y  0.421  0.086  0.256
Y  0.752  0.752  0.257

- energy (eV per cell) = -66.31
- ΔE_f (eV/f.u.) = 0.32
- Fermi-level density of states (states/eV/cell) = 16.3

Entry 4:
A relaxed structure of AcLaTbY. Source: Alexandria, functional PBE-GGA.

Unit cell a=5.917 b=5.917 c=5.917 alpha=60.00 beta=60.00 gamma=60.00
Atoms (fractional coordinates):
Ac  0.500  0.500  0.500
Y  0.750  0.750  0.750
La  0.000  0.000  0.000
Tb  0.250  0.250  0.250

- energy above the lowest structure with this stoichiometry (meV/atom) = 45
- energy (eV per cell) = -19.77
- ΔE_f (eV/f.u.) = 0.36
- Fermi-level density of states (states/eV/cell) = 7.0

Entry 5:
A relaxed structure of AcLa5TbY2. Source: Alexandria, functional PBE-GGA.

Unit cell a=10.420 b=8.067 c=8.067 alpha=90.00 beta=90.00 gamma=90.00
Atoms (fractional coordinates):
La  0.245  0.803  0.303
La  0.245  0.697  0.803
La  0.245  0.197  0.697
La  0.500  0.000  0.000
La  0.755  0.303  0.197
Y  0.500  0.130  0.370
Ac  0.000  0.000  0.000
Y  0.500  0.870  0.630
La  0.245  0.303  0.197
La  0.755  0.197  0.697
La  0.755  0.697  0.803
La  0.500  0.500  0.500
Tb  0.000  0.000  0.500
Tb  0.000  0.500  0.000
Y  0.500  0.630  0.130
Y  0.500  0.370  0.870
La  0.755  0.803  0.303
Ac  0.000  0.500  0.500

- energy (eV per cell) = -87.79
- ΔE_f (eV/f.u.) = 2.41
- Fermi-level density of states (states/eV/cell) = 30.2

Entry 6:
A relaxed structure of Ac5La2TbY. Source: Alexandria, functional PBE-GGA.

Unit cell a=5.872 b=11.817 c=11.044 alpha=90.00 beta=90.00 gamma=104.38
Atoms (fractional coordinates):
Ac  0.720  0.440  0.822
Ac  0.631  0.262  0.508
Tb  0.198  0.396  0.008
Ac  0.996  0.992  0.508
Tb  0.802  0.604  0.508
La  0.885  0.770  0.248
Ac  0.720  0.439  0.194
Ac  0.369  0.738  0.008
La  0.115  0.230  0.269
Ac  0.500  0.000  0.758
Y  0.600  0.200  0.008
La  0.885  0.770  0.769
Ac  0.500  0.000  0.258
Ac  0.004  0.008  0.008
Ac  0.280  0.560  0.322
La  0.115  0.230  0.748
Ac  0.280  0.561  0.694
Y  0.400  0.800  0.508

- energy (eV per cell) = -80.75
- ΔE_f (eV/f.u.) = 1.12
- Fermi-level density of states (states/eV/cell) = 26.1